(w)
This record from the Open Quantum Materials Database describes crystalline CoSiMoAu at its relaxed geometry. The functional is GGA-PBE.

Calculated values
Mass density in g/cm³: 10.815
Crystal system: cubic

Cell: 4.3533 4.3533 4.3533 Å, 60.00 60.00 60.00°
Fractional positions:
Co 0.0000 0.0000 0.0000
Si 0.7500 0.7500 0.7500
Mo 0.2500 0.2500 0.2500
Au 0.5000 0.5000 0.5000

(x)
This record from the Open Quantum Materials Database describes crystalline CoSiMoAu at its relaxed geometry. The functional is GGA-PBE.

Calculated values
Mass density in g/cm³: 11.082
Crystal system: cubic

Cell: 4.3179 4.3179 4.3179 Å, 60.00 60.00 60.00°
Fractional positions:
Co 0.0000 0.0000 0.0000
Si 0.7500 0.7500 0.7500
Mo 0.5000 0.5000 0.5000
Au 0.2500 0.2500 0.2500

In meV/atom, relative to the most stable structure: (w) 250; (x) 0.